[1]
Cs2SnPb7 | PBE | optimized geometry

Geometry as CIF:
```
data_Cs2SnPb7
_space_group_name_H-M_alt 'P 1'
_space_group_IT_number 1
_cell_length_a 5.3140
_cell_length_b 5.3140
_cell_length_c 13.9081
_cell_angle_alpha 90.00
_cell_angle_beta 90.00
_cell_angle_gamma 90.00
loop_
_space_group_symop_operation_xyz
'x,y,z'
loop_
_atom_site_label
_atom_site_type_symbol
_atom_site_fract_x
_atom_site_fract_y
_atom_site_fract_z
Pb1 Pb 0.0000 0.0000 0.5000
Pb2 Pb 0.0000 0.5000 0.6326
Pb3 Pb 0.0000 0.0000 0.0000
Pb4 Pb 0.5000 0.0000 0.3674
Pb5 Pb 0.5000 0.5000 0.5000
Pb6 Pb 0.5000 0.0000 0.1280
Pb7 Pb 0.0000 0.5000 0.8720
Sn1 Sn 0.5000 0.5000 0.0000
Cs1 Cs 0.5000 0.0000 0.7525
Cs2 Cs 0.0000 0.5000 0.2475
```

Properties
total moment = 0.00 Bohr magnetons per cell
symmetry = P-4m2, No. 115
total energy = -3.29 eV/atom
energy of formation = -0.1226 eV per atom

***

[2]
Cs3SnPb | PBE | optimized geometry

Geometry as CIF:
```
data_Cs3SnPb
_space_group_name_H-M_alt 'P 1'
_space_group_IT_number 1
_cell_length_a 7.3111
_cell_length_b 7.3111
_cell_length_c 7.3111
_cell_angle_alpha 90.00
_cell_angle_beta 90.00
_cell_angle_gamma 90.00
loop_
_space_group_symop_operation_xyz
'x,y,z'
loop_
_atom_site_label
_atom_site_type_symbol
_atom_site_fract_x
_atom_site_fract_y
_atom_site_fract_z
Pb1 Pb 0.0000 0.0000 0.0000
Cs1 Cs 0.0000 0.5000 0.0000
Cs2 Cs 0.0000 0.0000 0.5000
Cs3 Cs 0.5000 0.0000 0.0000
Sn1 Sn 0.5000 0.5000 0.5000
```

Properties
energy above the lowest structure with this stoichiometry = 1.98 eV per formula unit
total moment = 2.08 Bohr magnetons per cell
symmetry = Pm-3m, No. 221
total energy = -1.72 eV/atom
energy of formation = 0.3322 eV per atom

***

Number 2 is which compound?
Cs3SnPb

***

Please write out number 2 again, unchanged.
Cs3SnPb | PBE | optimized geometry

Geometry as CIF:
```
data_Cs3SnPb
_space_group_name_H-M_alt 'P 1'
_space_group_IT_number 1
_cell_length_a 7.3111
_cell_length_b 7.3111
_cell_length_c 7.3111
_cell_angle_alpha 90.00
_cell_angle_beta 90.00
_cell_angle_gamma 90.00
loop_
_space_group_symop_operation_xyz
'x,y,z'
loop_
_atom_site_label
_atom_site_type_symbol
_atom_site_fract_x
_atom_site_fract_y
_atom_site_fract_z
Pb1 Pb 0.0000 0.0000 0.0000
Cs1 Cs 0.0000 0.5000 0.0000
Cs2 Cs 0.0000 0.0000 0.5000
Cs3 Cs 0.5000 0.0000 0.0000
Sn1 Sn 0.5000 0.5000 0.5000
```

Properties
energy above the lowest structure with this stoichiometry = 1.98 eV per formula unit
total moment = 2.08 Bohr magnetons per cell
symmetry = Pm-3m, No. 221
total energy = -1.72 eV/atom
energy of formation = 0.3322 eV per atom

***

Look up the total energy of the second one.
-1.72 eV/atom